Here is a relaxed NiAgRu2 crystal from Alexandria via LeMat-Bulk. Energies are from PBE-GGA.

Cell lengths 2.7423, 3.7295, 5.5759 Å; angles 90.00, 90.00, 90.00 degrees
Closest atoms and distances in Å follow each position.
Space group Pmm2 (No. 25)
Unique sites:
Ni 0.0000 0.0000 0.0000 [1 per cell]  5 Ru 2.53-2.69, 4 Ag 2.70, 2 Ni 2.74
Ag 0.5000 0.5000 0.7504 [1 per cell]  4 Ni 2.70, 2 Ag 2.74, 6 Ru 2.76-2.84
Ru 0.0000 0.0000 0.4541 [1 per cell]  1 Ni 2.53, 6 Ru 2.59-2.74
Ru 0.5000 0.5000 0.2448 [1 per cell]  6 Ru 2.59-2.74, 4 Ni 2.69, 2 Ag 2.76-2.82

Values from the calculation:
Mass density   10.74 Mg/m³
DFT total energy   -25.95 eV/f.u.
Size of the total moment   0.0000 μB/atom
ΔE_f   0.3087 eV per atom